VASP calculation (GGA-PBE) on a relaxed structure of CuTe2W.

Computed properties:
theoretical density: 10.15 Mg/m³
E: -40.278 eV for the cell shown

Geometry as CIF:
```
data_CuTe2W
_cell_length_a 3.477
_cell_length_b 5.456
_cell_length_c 8.666
_cell_angle_alpha 90.00
_cell_angle_beta 90.00
_cell_angle_gamma 90.00
_symmetry_space_group_name_H-M 'C m m m'
_symmetry_Int_Tables_number 65
_symmetry_space_group_name_Hall '-C 2 2'
loop_
_atom_site_label
_atom_site_type_symbol
_atom_site_fract_x
_atom_site_fract_y
_atom_site_fract_z
Cu1 Cu 0.000 0.000 0.000
Te1 Te 0.000 0.500 0.249
W1 W 0.000 0.000 0.500
```